{
  "formula": "LaAl2Au3",
  "functional": "PBE",
  "state": "relaxed",
  "e_tot_ev_per_atom": -4.395,
  "sg": "Cmcm (63)",
  "lattice_angstrom": [[5.196, -4.330, 0.000], [5.196, 4.330, 0.000], [0.000, 0.000, 5.549]],
  "species": ["Au", "Al", "Au", "Au", "Au", "Al", "Al", "La", "Au", "La", "Au", "Al"],
  "frac_coords": [[0.882, 0.477, 0.750], [0.209, 0.209, 0.500], [0.060, 0.940, 0.250], [0.477, 0.882, 0.250], [0.523, 0.118, 0.750], [0.791, 0.791, 0.500], [0.791, 0.791, 0.000], [0.310, 0.690, 0.750], [0.118, 0.523, 0.250], [0.690, 0.310, 0.250], [0.940, 0.060, 0.750], [0.209, 0.209, 0.000]]
}